No. 1
GdDyThAl | PBE-GGA | relaxed

abc: 5.3951 5.3951 5.3951
angles: 60.00 60.00 60.00
Element x y z (fractional)
1 Al 0.7500 0.7500 0.7500
2 Th 0.5000 0.5000 0.5000
3 Gd 0.0000 0.0000 0.0000
4 Dy 0.2500 0.2500 0.2500



No. 2
DyBi6 | PBE-GGA | relaxed

abc: 7.5889 7.5889 7.5889
angles: 109.47 109.47 109.47
Element x y z (fractional)
1 Bi 0.7500 0.5000 0.2500
2 Dy 0.0000 0.0000 0.0000
3 Bi 0.5000 0.2500 0.7500
4 Bi 0.5000 0.7500 0.2500
5 Bi 0.2500 0.7500 0.5000
6 Bi 0.2500 0.5000 0.7500
7 Bi 0.7500 0.2500 0.5000



M_tot (Bohr magnetons per cell)
7.5; 0.0
Formation energy from the elements (eV/atom)
-0.02; 0.56